# Dy2Tm

An optimized crystal structure of Dy2Tm (PBE, Alexandria via LeMat-Bulk).

Summary:
Energy relative to the elements, meV/atom: 4
Uncorrected energy, eV per atom: -4.555

Structure (POSCAR):
```
Dy2Tm
1.0
6.1962 -0.0539 -0.5893
-3.0262 5.4070 0.5872
-2.5971 -2.0794 5.7497
Tm Dy
2 4
Direct
0.6675 0.9175 0.7500
0.3325 0.0825 0.2500
0.0013 0.4168 0.2502
0.3334 0.2493 0.7502
0.6666 0.7507 0.2498
0.9987 0.5832 0.7498
```

# RbMnPt

An optimized crystal structure of RbMnPt (PBE, Alexandria via LeMat-Bulk).

Summary:
Energy relative to the elements, meV/atom: 844
Uncorrected energy, eV per atom: -4.548

Structure (POSCAR):
```
RbMnPt
1.0
5.2401 -3.0254 0.0000
0.0000 6.0507 0.0000
0.0000 0.0000 9.6217
Mn Pt Rb
2 2 2
Direct
0.0000 0.0000 0.7500
0.0000 0.0000 0.2500
0.0000 0.0000 0.5000
0.0000 0.0000 0.0000
0.3333 0.6667 0.2500
0.6667 0.3333 0.7500
```

# TiS2O8

An optimized crystal structure of TiS2O8 (PBE, Alexandria via LeMat-Bulk).

Summary:
Formation energy without anion corrections, eV/atom: -1.64
Uncorrected energy, eV per atom: -6.710

Structure (POSCAR):
```
TiS2O8
1.0
-2.4224 -3.6449 1.5963
-0.2584 -2.8391 -5.4131
4.9251 -3.5115 0.9174
O Ti S
8 1 2
Direct
0.7772 0.7316 0.0165
0.2910 0.3627 0.3627
0.7090 0.6373 0.6373
0.2228 0.2684 0.9835
0.3252 0.8407 0.8407
0.2228 0.9835 0.2684
0.6748 0.1593 0.1593
0.7772 0.0165 0.7316
0.0000 0.0000 0.0000
0.6452 0.7940 0.7940
0.3548 0.2060 0.2060
```

# Fe3AsS

An optimized crystal structure of Fe3AsS (PBE, Alexandria via LeMat-Bulk).

Summary:
Formation energy without anion corrections, eV/atom: 0.33
Uncorrected energy, eV per atom: -6.500

Structure (POSCAR):
```
Fe3AsS
1.0
4.1932 0.0000 0.0000
0.0000 4.1932 0.0000
0.0000 0.0000 4.1932
Fe S As
3 1 1
Direct
0.5000 0.0000 0.0000
0.0000 0.0000 0.5000
0.0000 0.5000 0.0000
0.0000 0.0000 0.0000
0.5000 0.5000 0.5000
```

# Li9IrRh2

An optimized crystal structure of Li9IrRh2 (PBE, Alexandria via LeMat-Bulk).

Summary:
Energy relative to the elements, meV/atom: -76
Uncorrected energy, eV per atom: -3.475

Structure (POSCAR):
```
Li9IrRh2
1.0
2.5877 0.0000 0.0000
0.0000 8.6980 0.0000
0.0000 -4.3490 7.5327
Rh Li Ir
2 9 1
Direct
0.0000 0.6667 0.3333
0.0000 0.3333 0.6667
0.5000 0.1686 0.3372
0.5000 0.6628 0.8314
0.5000 0.1686 0.8314
0.0000 0.5000 0.5000
0.5000 0.8314 0.6628
0.0000 0.5000 0.0000
0.0000 0.0000 0.5000
0.5000 0.8314 0.1686
0.5000 0.3372 0.1686
0.0000 0.0000 0.0000
```

# Cu2RePbI

An optimized crystal structure of Cu2RePbI (PBE, Alexandria via LeMat-Bulk).

Summary:
Formation energy without anion corrections, eV/atom: 1.60
Uncorrected energy, eV per atom: -3.582

Structure (POSCAR):
```
Cu2RePbI
1.0
-0.5610 -2.2623 4.2896
-3.1352 -3.4028 -2.2047
3.8211 -2.8653 -1.0114
Cu Re I Pb
2 1 1 1
Direct
0.0000 0.0000 0.5000
0.5000 0.0000 0.0000
0.0000 0.5000 0.0000
0.0000 0.0000 0.0000
0.5000 0.5000 0.5000
```